MnAl3H | GGA-PBE | optimized geometry

Distance to the lowest polymorph of the same formula in kJ per mole of atoms: 67.1
V in A^3/atom: 19.73
Space group: Pm-3m

abc: 4.621 4.621 4.621
angles: 90.00 90.00 90.00
Atoms (fractional coordinates):
1 Mn 0.000 0.000 0.000
2 Al 0.000 0.000 0.500
3 Al 0.000 0.500 0.000
4 Al 0.500 0.000 0.000
5 H 0.500 0.500 0.500